Entry 1:
CeScB PBE optimized geometry; crystal system = orthorhombic; density of states at the Fermi level = 19.48 states/eV/cell; symmetry = Cmcm; energy of formation = -0.29 eV/atom
1.0
3.325 0.000 0.000
0.000 21.433 0.000
0.000 0.000 3.119
Ce Sc B
4 4 4
direct
0.000 0.193 0.250
0.000 0.807 0.750
0.500 0.307 0.750
0.500 0.693 0.250
0.000 0.433 0.250
0.000 0.567 0.750
0.500 0.067 0.750
0.500 0.933 0.250
0.000 0.016 0.250
0.000 0.984 0.750
0.500 0.484 0.750
0.500 0.516 0.250

---

Entry 2:
GaAgGeS4 PBE optimized geometry; ΔE_f (raw) = -0.41 eV per atom; crystal system = triclinic; symmetry = P1
1.0
6.945 0.000 0.000
3.378 6.113 0.000
1.508 2.582 11.730
Ga Ag Ge S
3 3 3 12
direct
0.000 0.000 0.000
0.228 0.511 0.231
0.487 0.267 0.500
0.172 0.975 0.414
0.320 0.392 0.915
0.646 0.656 0.087
0.243 0.005 0.721
0.722 0.990 0.270
0.741 0.973 0.765
0.085 0.226 0.850
0.107 0.762 0.734
0.175 0.217 0.545
0.299 0.649 0.043
0.364 0.135 0.234
0.387 0.581 0.359
0.594 0.315 0.659
0.601 0.752 0.748
0.685 0.000 0.950
0.795 0.966 0.448
0.855 0.632 0.256
0.887 0.175 0.150

---

Entry 3:
Sc2TeOsO PBE optimized geometry; ΔE_f (raw) = -0.85 eV per atom; crystal system = tetragonal; density of states at the Fermi level = 3.45 states/eV/cell; symmetry = P4/mmm
1.0
4.436 0.000 0.000
0.000 4.436 0.000
0.000 0.000 4.172
Sc Te Os O
2 1 1 1
direct
0.000 0.500 0.000
0.500 0.000 0.000
0.000 0.000 0.500
0.500 0.500 0.500
0.500 0.500 0.000

---

Entry 4:
Gd2Te PBE optimized geometry; ΔE_f (raw) = -0.80 eV per atom; crystal system = tetragonal; density of states at the Fermi level = 5.95 states/eV/cell; symmetry = I4/mmm
1.0
3.935 0.000 0.000
0.000 3.935 0.000
0.000 0.000 11.451
Gd Te
4 2
direct
0.000 0.000 0.153
0.000 0.000 0.847
0.500 0.500 0.347
0.500 0.500 0.653
0.000 0.000 0.500
0.500 0.500 0.000